No. 1
ErTm2Ni | Alexandria | PBE | relaxed; energy relative to the lowest polymorph listed for this composition = 0 meV/atom; DFT formation energy = -0.27 eV/atom; symmetry = No. 62; electronic total energy = -5.096 eV/atom
1.0
-2.5804 0.1218 -5.6878
2.4244 -6.1873 -1.2324
-7.8782 -3.7826 3.4931
Er Tm Ni
4 8 4
Cartesian
-3.9152 -8.8088 0.6489
-2.3227 -4.1606 -3.4046
-4.1190 -1.0394 -4.0760
-5.7115 -5.6876 -0.0225
-2.2401 -5.8224 -0.3377
-3.8179 -2.7115 -0.5273
-8.7023 -5.4221 -1.8000
0.6681 -4.4261 -1.6271
-4.2163 -7.1367 -2.8998
-7.1245 -8.5330 -1.6104
-0.9097 -1.3152 -1.8168
-5.7941 -4.0258 -3.0894
-6.8812 -6.4843 -3.5233
-0.9641 -6.4092 -2.7756
-7.0701 -3.4389 -0.6515
-1.1530 -3.3639 0.0962

No. 2
NaVC | Alexandria | PBE | relaxed; energy relative to the lowest polymorph listed for this composition = 249 meV/atom; DFT formation energy = 0.15 eV/atom; symmetry = No. 123; electronic total energy = -6.402 eV/atom
1.0
2.8624 0.0000 0.0000
0.0000 2.8624 0.0000
0.0000 0.0000 5.2677
Na V C
1 1 1
Cartesian
0.0000 0.0000 0.0000
1.4312 1.4312 2.6338
0.0000 0.0000 2.6338

Q: The highest electronic total energy belongs to which entry?
A: ErTm2Ni

Q: What is the formula in the first record?
A: ErTm2Ni